Computed, not measured: CrAu2Br after structural relaxation at the PBE level of DFT.

uncorrected formation energy	0.301	eV per atom

a b c (Å): 8.1048 8.1048 6.3091
angles (deg): 50.04 50.04 90.00
Positions (direct):
Cr 0.5000 0.5000 0.0000
Cr 0.2500 0.7500 0.5000
Au 0.5955 0.1250 0.2500
Au 0.1545 0.6250 0.2500
Au 0.3750 0.4045 0.7500
Au 0.8750 0.8455 0.7500
Br 0.0000 0.0000 0.0000
Br 0.7500 0.2500 0.5000